No. 1
Below is a PBEsol-optimized structure of La2Si2Ag, with properties calculated at the SCAN level.

Geometry as POSCAR:
```
La2Si2Ag
1.0
7.181 0.000 0.000
0.000 7.181 0.000
0.000 0.000 4.505
La Si Ag
4 4 2
Cartesian
1.274 2.317 0.000 La
2.317 5.908 0.000 La
4.864 1.274 0.000 La
5.908 4.864 0.000 La
0.853 4.443 2.252 Si
2.738 0.853 2.252 Si
4.443 6.329 2.252 Si
6.329 2.738 2.252 Si
0.000 0.000 2.252 Ag
3.591 3.591 2.252 Ag
```

Its crystal system is tetragonal. Its space group is P4/mbm, No. 127. Its formation energy (no corrections) is -605 meV per atom.


No. 2
Below is a PBEsol-optimized structure of LaSi2Ag, with properties calculated at the SCAN level.

Geometry as POSCAR:
```
LaSi2Ag
1.0
4.006 -2.005 0.000
4.006 2.005 0.000
-1.937 0.000 5.135
La Si Ag
1 2 1
Cartesian
0.000 0.000 0.000 La
3.069 0.000 2.531 Si
5.553 0.000 1.775 Si
0.573 0.000 3.258 Ag
```

Its crystal system is monoclinic. Its space group is Cm, No. 8. Its formation energy (no corrections) is -197 meV per atom.


- The lowest formation energy (no corrections) belongs to which entry?
  La2Si2Ag


Repeat the second record exactly.
Below is a PBEsol-optimized structure of LaSi2Ag, with properties calculated at the SCAN level.

Geometry as POSCAR:
```
LaSi2Ag
1.0
4.006 -2.005 0.000
4.006 2.005 0.000
-1.937 0.000 5.135
La Si Ag
1 2 1
Cartesian
0.000 0.000 0.000 La
3.069 0.000 2.531 Si
5.553 0.000 1.775 Si
0.573 0.000 3.258 Ag
```

Its crystal system is monoclinic. Its space group is Cm, No. 8. Its formation energy (no corrections) is -197 meV per atom.


- The lowest formation energy (no corrections) belongs to which entry?
  La2Si2Ag


- Among the records above, which one has the highest formation energy (no corrections)?
  LaSi2Ag